No. 1
Density functional theory data (GGA-PBE) for a geometry-optimized CsGe2P2 structure.

Raw total energy = -4.243 eV/atom
Crystal system = monoclinic
Space-group type = C2/c (15)

a = 7.100 Å, b = 7.100 Å, c = 6.557 Å
α = 102.93°, β = 102.93°, γ = 109.60°
Fractional positions:
Cs  0.125  0.875  0.750
Cs  0.875  0.125  0.250
Ge  0.239  0.454  0.002
Ge  0.454  0.239  0.502
Ge  0.546  0.761  0.498
Ge  0.761  0.546  0.998
P  0.242  0.758  0.250
P  0.447  0.553  0.750
P  0.553  0.447  0.250
P  0.758  0.242  0.750

No. 2
Density functional theory data (GGA-PBE) for a geometry-optimized BaTeI2N structure.

Raw total energy = -3.377 eV/atom
Crystal system = tetragonal
Space-group type = P4/mmm (123)
Formation energy (no corrections) = -79 meV/atom

a = 5.198 Å, b = 5.198 Å, c = 5.298 Å
α = 90.00°, β = 90.00°, γ = 90.00°
Fractional positions:
Ba  0.000  0.000  0.000
Te  0.500  0.500  0.000
I  0.000  0.500  0.500
I  0.500  0.000  0.500
N  0.500  0.500  0.500

No. 3
Density functional theory data (GGA-PBE) for a geometry-optimized LiCa3Hf structure.

Raw total energy = -2.666 eV/atom
Crystal system = cubic
Space-group type = Pm-3m (221)

a = 6.101 Å, b = 6.101 Å, c = 6.101 Å
α = 90.00°, β = 90.00°, γ = 90.00°
Fractional positions:
Li  0.000  0.000  0.000
Ca  0.000  0.500  0.500
Ca  0.500  0.000  0.500
Ca  0.500  0.500  0.000
Hf  0.500  0.500  0.500

No. 4
Density functional theory data (GGA-PBE) for a geometry-optimized Ce2NdErSe4 structure.

Raw total energy = -6.190 eV/atom
Crystal system = monoclinic
Space-group type = P2/m (10)
Formation energy (no corrections) = -1798 meV/atom

a = 7.221 Å, b = 4.139 Å, c = 7.268 Å
α = 90.00°, β = 109.06°, γ = 90.00°
Fractional positions:
Ce  0.000  0.000  0.000
Ce  0.500  0.500  0.000
Nd  0.000  0.500  0.500
Er  0.500  0.000  0.500
Se  0.257  0.000  0.746
Se  0.262  0.500  0.260
Se  0.738  0.500  0.740
Se  0.743  0.000  0.254

No. 5
Density functional theory data (GGA-PBE) for a geometry-optimized NaAlPb structure.

Raw total energy = -2.875 eV/atom
Crystal system = orthorhombic
Space-group type = Pmmm (47)

a = 3.398 Å, b = 4.891 Å, c = 9.308 Å
α = 90.00°, β = 90.00°, γ = 90.00°
Fractional positions:
Na  0.000  0.000  0.000
Na  0.000  0.500  0.500
Al  0.500  0.000  0.356
Al  0.500  0.000  0.644
Pb  0.500  0.500  0.186
Pb  0.500  0.500  0.814

No. 6
Density functional theory data (GGA-PBE) for a geometry-optimized P2Br2N structure.

Raw total energy = -4.698 eV/atom
Crystal system = triclinic
Space-group type = P-1 (2)
Formation energy (no corrections) = -199 meV/atom

a = 6.355 Å, b = 6.768 Å, c = 8.621 Å
α = 74.32°, β = 80.88°, γ = 73.37°
Fractional positions:
P  0.029  0.183  0.403
P  0.457  0.840  0.540
P  0.543  0.160  0.460
P  0.971  0.817  0.597
Br  0.057  0.158  0.143
Br  0.381  0.263  0.693
Br  0.619  0.737  0.307
Br  0.943  0.842  0.857
N  0.186  0.937  0.507
N  0.814  0.063  0.493

It is found that the size of the total moment values, taken in the order of the records, are 0.00, 0.00, 2.99, 2.05, 0.00, 0.00 μB per cell.